# 1
Compound: YAgCl2
Source: the Alexandria database
Functional: PBE
Structure: optimized geometry

Computed properties:
calculated volume = 21.10 Å³/atom
density of states at the Fermi level = 1.3 states/eV/f.u.
space-group type = No. 47
ΔE to the lowest computed polymorph = 0.4063 eV per atom

Cell and atoms, written as extended XYZ:
```
4
Lattice="4.5140 0.0000 0.0000 0.0000 4.5641 0.0000 0.0000 0.0000 4.0962" Properties=species:S:1:pos:R:3 pbc="T T T"
Y 2.2570 0.0000 2.0481
Ag 0.0000 2.2820 2.0481
Cl 0.0000 0.0000 0.0000
Cl 2.2570 2.2820 0.0000
```

=====

# 2
Compound: YAgCl
Source: the Alexandria database
Functional: PBE
Structure: optimized geometry

Computed properties:
calculated volume = 24.63 Å³/atom
density of states at the Fermi level = 2.6 states/eV/f.u.
space-group type = No. 216
ΔE to the lowest computed polymorph = 0.4201 eV per atom

Cell and atoms, written as extended XYZ:
```
3
Lattice="-1.2804 3.0792 -3.3268 2.2328 0.0506 -4.1473 -2.2049 -1.5064 -3.8804" Properties=species:S:1:pos:R:3 pbc="T T T"
Ag -0.6262 0.8117 -5.6773
Cl -0.9393 1.2175 -8.5159
Y 0.0000 0.0000 0.0000
```

=====

# 3
Compound: YAg2Cl
Source: the Alexandria database
Functional: PBE
Structure: optimized geometry

Computed properties:
calculated volume = 21.79 Å³/atom
density of states at the Fermi level = 2.6 states/eV/f.u.
space-group type = No. 47
ΔE to the lowest computed polymorph = 0.0784 eV per atom

Cell and atoms, written as extended XYZ:
```
4
Lattice="3.3654 0.0000 0.0000 0.0000 4.5077 0.0000 0.0000 0.0000 5.7465" Properties=species:S:1:pos:R:3 pbc="T T T"
Ag 0.0000 0.0000 0.0000
Ag 1.6827 2.2539 0.0000
Cl 1.6827 0.0000 2.8732
Y 0.0000 2.2539 2.8732
```

=====

| no. | formation energy (no corrections) (eV/atom) | total magnetic moment (μB per atom) |
| --- | --- | --- |
| 1 | -0.84 | 0.000 |
| 2 | -0.39 | 0.000 |
| 3 | -0.50 | 0.000 |